Record 1
A geometry-optimized TlZnTc2 structure. Source: Alexandria via LeMat-Bulk, functional GGA-PBEsol.

- Excess energy over the best structure of this formula in the dataset: 0.000 eV per atom
- Space-group type: Cmm2
- Volume: 66.8 Å³/cell
- Formation energy: 0.50 eV per atom

a = 2.8182 Å, b = 2.8182 Å, c = 9.3580 Å
α = 90.00°, β = 90.00°, γ = 116.03°
Last column: nearest neighbours and their distance in Å.
Fractional coordinates of all 4 atoms:
Tc 0.0000 0.0000 0.9935  2 Tc 2.50, 2 Zn 2.61
Tc 0.5000 0.5000 0.7788  2 Tc 2.50
Zn 0.5000 0.5000 0.2228  2 Tc 2.61, 4 Zn 2.82
Tl 0.0000 0.0000 0.5049  6 Tl 2.82-2.99, 2 Tc 2.97, 2 Zn 3.03

Record 2
A geometry-optimized Tl2ZnTc structure. Source: Alexandria via LeMat-Bulk, functional GGA-PBEsol.

- Excess energy over the best structure of this formula in the dataset: 0.164 eV per atom
- Space-group type: C2/m
- Volume: 75.5 Å³/cell
- Formation energy: 0.65 eV per atom

a = 2.9551 Å, b = 5.1062 Å, c = 5.2766 Å
α = 97.28°, β = 90.00°, γ = 106.82°
Last column: nearest neighbours and their distance in Å.
Fractional coordinates of all 4 atoms:
Zn 0.5000 0.0000 0.0000  6 Tl 2.86-3.09, 2 Zn 2.96, 4 Tc 3.02
Tl 0.2593 0.5186 0.2559  3 Zn 2.86-3.09, 3 Tc 2.93-2.99, 6 Tl 2.96-3.06
Tl 0.7407 0.4814 0.7441  3 Zn 2.86-3.09, 3 Tc 2.93-2.99, 6 Tl 2.96-3.06
Tc 0.0000 0.0000 0.5000  6 Tl 2.93-2.99, 2 Tc 2.96, 4 Zn 3.02

Record 3
A geometry-optimized TlZnTc2 structure. Source: Alexandria via LeMat-Bulk, functional GGA-PBEsol.

- Excess energy over the best structure of this formula in the dataset: 0.147 eV per atom
- Space-group type: P4/mmm
- Volume: 62.8 Å³/cell
- Formation energy: 0.65 eV per atom

a = 3.8456 Å, b = 3.8456 Å, c = 4.2452 Å
α = 90.00°, β = 90.00°, γ = 90.00°
Last column: nearest neighbours and their distance in Å.
Fractional coordinates of all 4 atoms:
Tc 0.5000 0.0000 0.0000  4 Tc 2.72, 4 Tl 2.86, 4 Zn 2.86
Tc 0.0000 0.5000 0.0000  4 Tc 2.72, 4 Zn 2.86, 4 Tl 2.86
Tl 0.5000 0.5000 0.5000  4 Zn 2.72, 8 Tc 2.86
Zn 0.0000 0.0000 0.5000  4 Tl 2.72, 8 Tc 2.86

Which value of formation energy does entry 3 give? 0.65 eV per atom

The lowest excess energy over the best structure of this formula in the dataset belongs to which entry? number 1

What is the formation energy in the second record? 0.65 eV per atom